(1)
This record from Alexandria via LeMat-Bulk describes a relaxed structure of ScPtW3. The functional is GGA-PBEsol.

Values from the calculation:
The energy of formation from the pure elements is 11.97 eV per formula unit. The value obtained for the total magnetization is 0.0 μB/cell. As for the symmetry: Pm-3m.

Unit cell a=4.475 b=4.475 c=4.475 alpha=90.00 beta=90.00 gamma=90.00
Atoms (fractional coordinates):
W  0.500  0.000  0.000
W  0.000  0.000  0.500
Pt  0.500  0.500  0.500
W  0.000  0.500  0.000
Sc  0.000  0.000  0.000



(2)
This record from Alexandria via LeMat-Bulk describes a relaxed structure of NiHgBi2Ir. The functional is GGA-PBEsol.

Values from the calculation:
The energy of formation from the pure elements is 8.86 eV per formula unit. The value obtained for the total magnetization is 0.9 μB/cell. As for the symmetry: P4/mmm.

Unit cell a=4.964 b=5.420 c=5.420 alpha=90.00 beta=90.00 gamma=90.00
Each line ends with the local moment (μB).
Atoms (fractional coordinates):
Hg  0.000  0.000  0.000  0.00
Ir  0.500  0.000  0.000  0.25
Bi  0.000  0.000  0.500  -0.02
Ni  0.500  0.500  0.500  0.77
Bi  0.000  0.500  0.000  -0.02



(3)
This record from Alexandria via LeMat-Bulk describes a relaxed structure of Zn3SbBr. The functional is GGA-PBEsol.

Values from the calculation:
The value obtained for the raw formation energy is 61.5 kJ/mol of atoms. The value obtained for the total magnetization is 0.0 μB/cell. As for the symmetry: Pm-3m.

Unit cell a=4.934 b=4.934 c=4.934 alpha=90.00 beta=90.00 gamma=90.00
Atoms (fractional coordinates):
Zn  0.000  0.000  0.500
Zn  0.500  0.000  0.000
Sb  0.500  0.500  0.500
Zn  0.000  0.500  0.000
Br  0.000  0.000  0.000



(4)
This record from Alexandria via LeMat-Bulk describes a relaxed structure of MoOs3. The functional is GGA-PBEsol.

Values from the calculation:
The energy of formation from the pure elements is 0.05 eV per formula unit. The value obtained for the total magnetization is 0.0 μB/cell. As for the symmetry: Pmmn.

Unit cell a=4.745 b=5.451 c=13.224 alpha=90.00 beta=90.00 gamma=90.00
Atoms (fractional coordinates):
Os  0.000  0.500  0.000
Mo  0.664  0.000  0.337
Os  0.165  0.748  0.335
Mo  0.664  0.000  0.663
Os  0.835  0.248  0.165
Os  0.000  0.000  0.500
Os  0.835  0.752  0.165
Os  0.496  0.749  0.500
Os  0.663  0.500  0.335
Os  0.663  0.500  0.665
Os  0.165  0.252  0.665
Os  0.337  0.000  0.835
Os  0.504  0.249  0.000
Mo  0.992  0.500  0.500
Os  0.835  0.248  0.835
Os  0.835  0.752  0.835
Os  0.165  0.252  0.335
Os  0.337  0.000  0.165
Os  0.504  0.751  0.000
Os  0.496  0.251  0.500
Os  0.165  0.748  0.665
Mo  0.336  0.500  0.837
Mo  0.336  0.500  0.163
Mo  0.008  0.000  0.000



(5)
This record from Alexandria via LeMat-Bulk describes a relaxed structure of LiIr3C. The functional is GGA-PBEsol.

Values from the calculation:
The calculation puts the offset from the most stable computed form at 0 meV/atom. The energy of formation from the pure elements is 1.02 eV per formula unit. The value obtained for the total magnetization is 0.0 μB/cell. As for the symmetry: Pm-3m.

Unit cell a=4.010 b=4.010 c=4.010 alpha=90.00 beta=90.00 gamma=90.00
Atoms (fractional coordinates):
Li  0.500  0.500  0.500
C  0.000  0.000  0.000
Ir  0.000  0.000  0.500
Ir  0.500  0.000  0.000
Ir  0.000  0.500  0.000



(6)
This record from Alexandria via LeMat-Bulk describes a relaxed structure of LaTb3. The functional is GGA-PBEsol.

Values from the calculation:
The energy of formation from the pure elements is 0.12 eV per formula unit. The value obtained for the total magnetization is 0.0 μB/cell. As for the symmetry: I4/mmm.

Unit cell a=5.007 b=5.007 c=6.104 alpha=114.21 beta=114.21 gamma=90.00
Atoms (fractional coordinates):
La  0.000  0.000  0.000
Tb  0.500  0.500  0.000
Tb  0.750  0.250  0.500
Tb  0.250  0.750  0.500



(7)
This record from Alexandria via LeMat-Bulk describes a relaxed structure of Mn2InPb. The functional is GGA-PBEsol.

Values from the calculation:
The calculation puts the offset from the most stable computed form at 285 meV/atom. The energy of formation from the pure elements is 3.11 eV per formula unit. The value obtained for the total magnetization is 6.9 μB/cell. As for the symmetry: F-43m.

Unit cell a=4.809 b=4.809 c=4.809 alpha=60.00 beta=60.00 gamma=60.00
Each line ends with the local moment (μB).
Atoms (fractional coordinates):
Mn  0.000  0.000  0.000  3.42
Pb  0.250  0.250  0.250  -0.07
In  0.500  0.500  0.500  -0.08
Mn  0.750  0.750  0.750  3.37



(8)
This record from Alexandria via LeMat-Bulk describes a relaxed structure of KAlMo2O8. The functional is GGA-PBEsol.

Values from the calculation:
The value obtained for the raw formation energy is -219.4 kJ/mol of atoms. The value obtained for the total magnetization is 0.0 μB/cell. As for the symmetry: P-3m1.

Unit cell a=5.550 b=5.550 c=7.037 alpha=90.00 beta=90.00 gamma=120.00
Atoms (fractional coordinates):
O  0.684  0.842  0.159
O  0.333  0.667  0.482
K  0.000  0.000  0.500
Mo  0.667  0.333  0.762
O  0.667  0.333  0.518
O  0.842  0.158  0.841
Al  0.000  0.000  0.000
O  0.842  0.684  0.841
O  0.316  0.158  0.841
Mo  0.333  0.667  0.238
O  0.158  0.842  0.159
O  0.158  0.316  0.159